Material: CsLiPuI6
Method: DFT, PBE-GGA
State: optimized geometry

```
18
Lattice="7.762 0.000 0.000 -3.881 6.722 0.000 0.000 0.000 17.656" Properties=species:S:1:pos:R:3 pbc="T T T"
Cs 0.000 0.000 0.000
Cs 0.000 0.000 8.828
Li 0.000 4.481 4.414
Li 3.881 2.241 13.242
Pu 0.000 4.481 13.242
Pu 3.881 2.241 4.414
I -1.406 2.451 11.514
I -2.461 4.279 14.970
I 1.406 2.451 14.970
I -1.055 6.714 11.514
I 2.826 0.008 2.686
I 1.420 2.443 6.142
I 2.461 4.279 11.514
I 1.055 6.714 14.970
I 4.936 0.008 6.142
I 2.475 4.271 2.686
I 6.342 2.443 2.686
I 5.287 4.271 6.142
```

Values from the calculation:
density of states at the Fermi level = 18.69 states/eV/cell
raw total energy = -72.45 eV for the cell shown
uncorrected formation energy = -1.09 eV/atom
density = 4.1 g cm⁻³
calculated volume = 51.179 A^3/atom